## ScCdBr (meta-GGA SCAN)

Data for ScCdBr at its PBEsol-relaxed geometry.

a b c (Å): 3.3156 3.3156 12.9869
angles (deg): 90.00 90.00 90.00
Space group I4mm (No. 107)
Unique sites:
Sc 0.0000 0.0000 0.0000 (multiplicity 2)
Cd 0.0000 0.0000 0.3502 (multiplicity 2)
Br 0.0000 0.0000 0.6189 (multiplicity 2)

## Properties
The total magnetic moment comes out at 1.9 μB/cell. The value obtained for the uncorrected formation energy is -671 meV/atom. The calculation puts the mass density at 5.52 Mg/m³. For the density of states at the Fermi level, the calculation gives 0.5239 states/eV/atom. The energy above the lowest structure with this stoichiometry comes out at 0 meV per atom. Its calculated total energy is -132.25 eV for the cell shown.